Record 1
Material: SrMnSe2
Method: DFT, GGA-PBE
State: optimized geometry

Cell lengths 6.270, 6.270, 6.270 Å; angles 109.22, 109.22, 109.97 degrees
Positions (direct):
Sr 0.000 0.000 0.000
Sr 0.750 0.250 0.500
Mn 0.250 0.750 0.500
Mn 0.500 0.500 0.000
Se 0.222 0.625 0.097
Se 0.375 0.472 0.597
Se 0.528 0.125 0.903
Se 0.875 0.778 0.403

Output
Total DFT energy (no corrections)   -41.78 eV per cell
Formation energy (no corrections)   -0.767 eV/atom
V   23.716 Å³ per atom
Total moment   0.0 μB/cell

=====

Record 2
Material: SrMnSe2
Method: DFT, GGA-PBE
State: optimized geometry

Cell lengths 6.922, 6.922, 4.371 Å; angles 92.16, 92.16, 33.89 degrees
Positions (direct):
Sr 0.000 0.000 0.000
Mn 0.739 0.739 0.671
Se 0.304 0.304 0.967
Se 0.561 0.561 0.505

Output
Total DFT energy (no corrections)   -22.04 eV per cell
Formation energy (no corrections)   -1.056 eV/atom
V   29.173 Å³ per atom
Total moment   5.0 μB/cell

=====

Record 3
Material: Sr2MnTeSe
Method: DFT, GGA-PBE
State: optimized geometry

Cell lengths 5.977, 5.977, 4.571 Å; angles 90.00, 90.00, 90.00 degrees
Positions (direct):
Sr 0.000 0.500 0.000
Sr 0.500 0.000 0.000
Mn 0.000 0.000 0.500
Te 0.500 0.500 0.500
Se 0.000 0.000 0.000

Output
Total DFT energy (no corrections)   -23.01 eV per cell
Formation energy (no corrections)   -0.771 eV/atom
V   32.666 Å³ per atom
Total moment   3.1 μB/cell

=====

Record 4
Material: Sr2ThMnSe5
Method: DFT, GGA-PBE
State: optimized geometry

Cell lengths 9.409, 9.409, 13.080 Å; angles 90.00, 90.00, 153.54 degrees
Positions (direct):
Sr 0.105 0.895 0.500
Sr 0.118 0.882 0.146
Sr 0.882 0.118 0.646
Sr 0.895 0.105 0.000
Th 0.205 0.795 0.843
Th 0.795 0.205 0.343
Mn 0.445 0.555 0.257
Mn 0.555 0.445 0.757
Se 0.047 0.953 0.859
Se 0.290 0.710 0.494
Se 0.309 0.691 0.189
Se 0.361 0.639 0.826
Se 0.498 0.502 0.588
Se 0.502 0.498 0.088
Se 0.639 0.361 0.326
Se 0.691 0.309 0.689
Se 0.710 0.290 0.994
Se 0.953 0.047 0.359

Output
Total DFT energy (no corrections)   -103.09 eV per cell
Formation energy (no corrections)   -1.574 eV/atom
V   28.659 Å³ per atom
Total moment   10.0 μB/cell

=====

Record 5
Material: Sr2TmMnSe5
Method: DFT, GGA-PBE
State: optimized geometry

Cell lengths 9.398, 9.398, 12.834 Å; angles 90.00, 90.00, 154.55 degrees
Positions (direct):
Sr 0.122 0.878 0.500
Sr 0.123 0.877 0.855
Sr 0.877 0.123 0.355
Sr 0.878 0.122 0.000
Tm 0.201 0.799 0.197
Tm 0.799 0.201 0.697
Mn 0.442 0.558 0.597
Mn 0.558 0.442 0.097
Se 0.040 0.960 0.196
Se 0.299 0.701 0.844
Se 0.313 0.687 0.540
Se 0.350 0.650 0.178
Se 0.499 0.501 0.432
Se 0.501 0.499 0.932
Se 0.650 0.350 0.678
Se 0.687 0.313 0.040
Se 0.701 0.299 0.344
Se 0.960 0.040 0.696

Output
Total DFT energy (no corrections)   -96.36 eV per cell
Formation energy (no corrections)   -1.528 eV/atom
V   27.062 Å³ per atom
Total moment   8.0 μB/cell

=====

Record 6
Material: SrUMnSe4
Method: DFT, GGA-PBE
State: optimized geometry

Cell lengths 6.819, 6.748, 8.493 Å; angles 90.00, 107.67, 90.00 degrees
Positions (direct):
Sr 0.242 0.250 0.057
Sr 0.758 0.750 0.943
U 0.225 0.250 0.554
U 0.775 0.750 0.446
Mn 0.239 0.750 0.320
Mn 0.761 0.250 0.680
Se 0.020 0.512 0.731
Se 0.020 0.988 0.731
Se 0.442 0.750 0.133
Se 0.452 0.750 0.601
Se 0.548 0.250 0.399
Se 0.558 0.250 0.867
Se 0.980 0.012 0.269
Se 0.980 0.488 0.269

Output
Total DFT energy (no corrections)   -88.10 eV per cell
Formation energy (no corrections)   -1.139 eV/atom
V   26.599 Å³ per atom
Total moment   14.0 μB/cell